[1]
Here is crystalline BaErTm4S8 at its relaxed geometry from Alexandria. Energies are from GGA-PBE.

a b c (Å): 8.156 8.156 8.156
angles (deg): 59.88 59.88 59.88
Positions (direct):
1 Ba 0.000 0.000 0.000
2 Er 0.628 0.628 0.628
3 Tm 0.120 0.627 0.627
4 Tm 0.251 0.251 0.251
5 Tm 0.627 0.120 0.627
6 Tm 0.627 0.627 0.120
7 S 0.382 0.382 0.855
8 S 0.382 0.855 0.382
9 S 0.383 0.383 0.383
10 S 0.431 0.858 0.858
11 S 0.855 0.382 0.382
12 S 0.857 0.857 0.857
13 S 0.858 0.431 0.858
14 S 0.858 0.858 0.431

Results
Raw formation energy (eV per atom): -1.9483
Total DFT energy (no corrections) (eV per cell): -84.67

[2]
Here is crystalline ICl5 at its relaxed geometry from Alexandria. Energies are from GGA-PBE.

a b c (Å): 4.799 5.241 9.306
angles (deg): 90.00 91.78 90.00
Positions (direct):
1 I 0.000 0.000 0.000
2 Cl 0.057 0.500 0.973
3 Cl 0.218 0.500 0.527
4 Cl 0.358 0.000 0.196
5 Cl 0.646 0.000 0.803
6 Cl 0.821 0.500 0.450

Results
Raw formation energy (eV per atom): -0.0663
Total DFT energy (no corrections) (eV per cell): -11.18

[3]
Here is crystalline Nd4SmY2 at its relaxed geometry from Alexandria. Energies are from GGA-PBE.

a b c (Å): 12.666 6.871 13.651
angles (deg): 67.05 29.97 82.98
Positions (direct):
1 Nd 0.145 0.301 0.069
2 Nd 0.181 0.765 0.105
3 Nd 0.301 0.145 0.485
4 Nd 0.379 0.621 0.479
5 Nd 0.621 0.379 0.521
6 Nd 0.729 0.771 0.629
7 Nd 0.765 0.181 0.949
8 Nd 0.771 0.729 0.871
9 Sm 0.013 0.013 0.987
10 Sm 0.263 0.263 0.237
11 Y 0.208 0.692 0.360
12 Y 0.510 0.890 0.558
13 Y 0.692 0.208 0.740
14 Y 0.890 0.510 0.042

Results
Offset from the most stable computed form (kJ/mol of formula units): 0.0
Total DFT energy (no corrections) (eV per cell): -72.64
Formation energy from the elements (kJ/mol of formula units): 39

Please write out number 3 again, unchanged.
Here is crystalline Nd4SmY2 at its relaxed geometry from Alexandria. Energies are from GGA-PBE.

a b c (Å): 12.666 6.871 13.651
angles (deg): 67.05 29.97 82.98
Positions (direct):
1 Nd 0.145 0.301 0.069
2 Nd 0.181 0.765 0.105
3 Nd 0.301 0.145 0.485
4 Nd 0.379 0.621 0.479
5 Nd 0.621 0.379 0.521
6 Nd 0.729 0.771 0.629
7 Nd 0.765 0.181 0.949
8 Nd 0.771 0.729 0.871
9 Sm 0.013 0.013 0.987
10 Sm 0.263 0.263 0.237
11 Y 0.208 0.692 0.360
12 Y 0.510 0.890 0.558
13 Y 0.692 0.208 0.740
14 Y 0.890 0.510 0.042

Results
Offset from the most stable computed form (kJ/mol of formula units): 0.0
Total DFT energy (no corrections) (eV per cell): -72.64
Formation energy from the elements (kJ/mol of formula units): 39